# 1
Sr3HAu SCAN single point on PBEsol structure; SG = Pm-3m; electronic total energy = -28.255 eV per atom; ΔE to the lowest computed polymorph = 0.00 eV per formula unit; M_tot = 0.0 Bohr magnetons per cell
1.0
5.1299 0.0000 0.0000
0.0000 5.1299 0.0000
0.0000 0.0000 5.1299
Sr Au H
3 1 1
direct
0.0000 0.0000 0.5000 Sr
0.5000 0.0000 0.0000 Sr
0.0000 0.5000 0.0000 Sr
0.5000 0.5000 0.5000 Au
0.0000 0.0000 0.0000 H

***

# 2
K5H3S5O14 SCAN single point on PBEsol structure; SG = C2/m; electronic total energy = -8.595 eV per atom; M_tot = 0.0 Bohr magnetons per cell
1.0
-5.2916 -0.4535 -2.6421
-1.5273 -2.6275 10.1689
-1.0729 14.6613 -0.3674
K O S H
10 28 10 6
direct
0.5000 0.0000 0.0000 K
0.9123 0.8247 0.7837 K
0.2951 0.5903 0.3672 K
0.7227 0.4455 0.1164 K
0.0728 0.1456 0.6988 K
0.5000 0.0000 0.5000 K
0.9272 0.8544 0.3012 K
0.0877 0.1753 0.2163 K
0.7049 0.4097 0.6328 K
0.2773 0.5545 0.8836 K
0.8934 0.3754 0.3009 O
0.1066 0.6246 0.6991 O
0.6909 0.7916 0.4587 O
0.5346 0.6535 0.2052 O
0.6889 0.9627 0.1723 O
0.6841 0.7798 0.9448 O
0.2013 0.4025 0.0118 O
0.2808 0.5616 0.5488 O
0.9349 0.8699 0.6086 O
0.4821 0.3754 0.3009 O
0.0957 0.7798 0.9448 O
0.8994 0.2084 0.5413 O
0.7192 0.4384 0.4512 O
0.1006 0.7916 0.4587 O
0.0651 0.1301 0.3914 O
0.1189 0.6535 0.2052 O
0.8811 0.3465 0.7948 O
0.9043 0.2202 0.0552 O
0.7262 0.0373 0.8277 O
0.3159 0.2202 0.0552 O
0.4720 0.9440 0.3133 O
0.7987 0.5975 0.9882 O
0.3091 0.2084 0.5413 O
0.3111 0.0373 0.8277 O
0.4654 0.3465 0.7948 O
0.5280 0.0560 0.6867 O
0.5179 0.6246 0.6991 O
0.2738 0.9627 0.1723 O
0.6591 0.3183 0.8448 S
0.8701 0.7403 0.9868 S
0.3409 0.6817 0.1552 S
0.3206 0.6412 0.6477 S
0.8898 0.7795 0.5124 S
0.1102 0.2205 0.4876 S
0.4568 0.9136 0.2091 S
0.6794 0.3588 0.3523 S
0.1299 0.2597 0.0132 S
0.5432 0.0864 0.7909 S
0.0914 0.1828 0.9213 H
0.1758 0.3517 0.4810 H
0.3876 0.7751 0.6460 H
0.9086 0.8172 0.0787 H
0.6124 0.2249 0.3540 H
0.8242 0.6483 0.5190 H

***

# 3
KB2Cl SCAN single point on PBEsol structure; SG = I4_1/amd; electronic total energy = -7.284 eV per atom; M_tot = 0.0 Bohr magnetons per cell
1.0
3.6970 0.0000 0.0000
0.0000 3.6970 0.0000
-1.8485 -1.8485 10.3227
K B Cl
2 4 2
direct
0.2500 0.7500 0.5000 K
0.0000 0.0000 0.0000 K
0.1250 0.3750 0.7500 B
0.6250 0.8750 0.2500 B
0.6250 0.3750 0.7500 B
0.6250 0.3750 0.2500 B
0.7500 0.2500 0.5000 Cl
0.5000 0.5000 0.0000 Cl

***

# 4
TmCuGe SCAN single point on PBEsol structure; SG = P-6m2; electronic total energy = -29.431 eV per atom; ΔE_f = -69.9 kJ/mol of atoms; M_tot = 0.0 Bohr magnetons per cell
1.0
3.5750 0.0000 0.0000
0.0000 4.1369 0.0000
0.0000 -2.0684 3.5826
Cu Ge Tm
1 1 1
direct
0.5000 0.0000 0.0000 Cu
0.5000 0.6667 0.3333 Ge
0.0000 0.3333 0.6667 Tm

***

# 5
LaYAs2 SCAN single point on PBEsol structure; SG = R-3m; electronic total energy = -29.594 eV per atom; ΔE_f = -170.0 kJ/mol of atoms; ΔE to the lowest computed polymorph = 0.00 eV per formula unit; M_tot = 0.0 Bohr magnetons per cell
1.0
4.1949 0.0000 0.0000
2.0975 3.6329 0.0000
2.0975 1.2110 6.8366
Y As La
1 2 1
direct
0.0000 0.0000 0.0000 Y
0.7456 0.7456 0.7632 As
0.2544 0.2544 0.2368 As
0.5000 0.5000 0.5000 La

***

# 6
ReAsIr2 SCAN single point on PBEsol structure; SG = F-43m; electronic total energy = -57.975 eV per atom; ΔE_f = 38.3 kJ/mol of atoms; M_tot = 0.0 Bohr magnetons per cell
1.0
4.3548 0.0000 0.0000
2.1774 3.7714 0.0000
2.1774 1.2571 3.5557
Ir As Re
2 1 1
direct
0.0000 0.0000 0.0000 Ir
0.7500 0.7500 0.7500 Ir
0.5000 0.5000 0.5000 As
0.2500 0.2500 0.2500 Re

***

# 7
TlWCl2 SCAN single point on PBEsol structure; SG = Pmmm; electronic total energy = -39.292 eV per atom; ΔE to the lowest computed polymorph = 0.00 eV per formula unit; M_tot = 0.0 Bohr magnetons per cell
1.0
-2.0120 1.6577 -1.4159
1.9019 -0.6508 -3.4645
-3.8093 -5.5233 -1.0536
W Cl Tl
1 2 1
direct
0.0000 0.5000 0.5000 W
0.0000 0.0000 0.7057 Cl
0.0000 0.0000 0.2943 Cl
0.5000 0.5000 0.0000 Tl

***

# 8
KTcAg2 SCAN single point on PBEsol structure; SG = F-43m; electronic total energy = -25.452 eV per atom; ΔE_f = 104.1 kJ/mol of atoms; ΔE to the lowest computed polymorph = 1.59 eV per formula unit; M_tot = 3.0 Bohr magnetons per cell
1.0
4.7806 0.0000 0.0000
2.3903 4.1401 0.0000
2.3903 1.3800 3.9034
K Ag Tc
1 2 1
direct
0.5000 0.5000 0.5000 K
0.7500 0.7500 0.7500 Ag
0.0000 0.0000 0.0000 Ag
0.2500 0.2500 0.2500 Tc

***

# 9
HgSb4Pb SCAN single point on PBEsol structure; SG = F-43m; electronic total energy = -48.591 eV per atom; M_tot = 0.0 Bohr magnetons per cell
1.0
-0.8161 3.3832 -5.1698
1.4209 -2.4202 -5.5644
-4.5392 -1.4773 -4.0065
Hg Sb Pb
1 4 1
direct
0.7500 0.7500 0.7500 Hg
0.3755 0.3755 0.8736 Sb
0.3755 0.8736 0.3755 Sb
0.3755 0.3755 0.3755 Sb
0.8736 0.3755 0.3755 Sb
0.0000 0.0000 0.0000 Pb

***

# 10
BiSb2AsPt SCAN single point on PBEsol structure; SG = P4/mmm; electronic total energy = -48.145 eV per atom; M_tot = 0.0 Bohr magnetons per cell
1.0
-1.5662 -4.5393 -1.6546
3.5771 0.0797 -3.6047
3.5281 -2.4734 3.4464
Bi Sb Pt As
1 2 1 1
direct
0.0000 0.0000 0.5000 Bi
0.5000 0.0000 0.0000 Sb
0.0000 0.5000 0.0000 Sb
0.0000 0.0000 0.0000 Pt
0.5000 0.5000 0.5000 As

***

# 11
KMg2As SCAN single point on PBEsol structure; SG = F-43m; electronic total energy = -9.608 eV per atom; ΔE_f = 0.9 kJ/mol of atoms; M_tot = 0.0 Bohr magnetons per cell
1.0
5.1879 0.0000 0.0000
2.5940 4.4929 0.0000
2.5940 1.4976 4.2359
Mg As K
2 1 1
direct
0.0000 0.0000 0.0000 Mg
0.7500 0.7500 0.7500 Mg
0.5000 0.5000 0.5000 As
0.2500 0.2500 0.2500 K

***

# 12
AgHg2P SCAN single point on PBEsol structure; SG = I4/mmm; electronic total energy = -44.108 eV per atom; ΔE_f = 40.2 kJ/mol of atoms; M_tot = 0.0 Bohr magnetons per cell
1.0
-2.1666 3.1056 1.9500
0.8243 -1.7945 3.7738
4.1554 1.5844 -2.5579
Hg P Ag
2 1 1
direct
0.2500 0.7500 0.5000 Hg
0.7500 0.2500 0.5000 Hg
0.5000 0.5000 0.0000 P
0.0000 0.0000 0.0000 Ag

***

Q: The highest electronic total energy belongs to which entry?
A: KB2Cl

***

Q: Look up the electronic total energy of the sixth one.
A: -57.975 eV per atom

***

Q: The highest electronic total energy belongs to which entry?
A: KB2Cl